No. 1
A plane-wave DFT calculation with PBE was carried out for AcThRu after structural relaxation.

Summary:
Space group: P-1, No. 2
ΔE_f in eV per atom: -0.30
E above lowest polymorph in eV/atom: 0.000
N(E_F) in states/eV per atom: 0.909
VASP energy in eV/atom: -7.2373

Cell and atoms, written as POSCAR:
```
AcThRu
1.0
-2.573 -2.752 1.616
5.865 -0.687 2.993
0.168 5.679 4.714
Ac Ru Th
2 2 2
Cartesian
4.560 4.181 6.587
-1.100 -1.940 2.736
1.825 3.083 5.554
1.634 -0.842 3.769
3.512 0.959 4.624
-0.053 1.282 4.699
```



No. 2
A plane-wave DFT calculation with PBE was carried out for HoScTlS after structural relaxation.

Summary:
Space group: P1, No. 1
Formation energy without anion corrections in eV/atom: -1.09
N(E_F) in states/eV per atom: 0.606
VASP energy in eV/atom: -5.4432

Cell and atoms, written as POSCAR:
```
HoScTlS
1.0
-2.482 -1.645 -2.156
2.771 -1.952 1.430
-3.707 0.096 7.318
Tl Sc Ho S
1 1 1 1
Cartesian
-2.750 -2.319 1.203
-3.342 -1.069 4.062
2.150 -2.007 1.596
-2.394 -1.470 6.408
```



No. 3
A plane-wave DFT calculation with PBE was carried out for Ta2PbCl after structural relaxation.

Summary:
Space group: Pmm2, No. 25
Formation energy without anion corrections in eV/atom: 0.28
E above lowest polymorph in eV/atom: 0.362
N(E_F) in states/eV per atom: 0.462
VASP energy in eV/atom: -7.0329

Cell and atoms, written as POSCAR:
```
Ta2PbCl
1.0
3.045 0.000 0.000
0.000 4.103 0.000
0.000 0.000 7.090
Ta Cl Pb
2 1 1
Cartesian
0.000 0.000 0.366
1.522 2.051 1.716
0.000 0.000 2.959
1.522 2.051 5.594
```



No. 4
A plane-wave DFT calculation with PBE was carried out for Sc4PSe2N after structural relaxation.

Summary:
Space group: P2/m, No. 10
Formation energy without anion corrections in eV/atom: -1.60
N(E_F) in states/eV per atom: 0.401
VASP energy in eV/atom: -7.3570

Cell and atoms, written as POSCAR:
```
Sc4PSe2N
1.0
3.625 0.000 0.000
0.000 6.314 0.114
0.000 -2.203 6.157
Sc P Se N
4 1 2 1
Cartesian
1.813 3.203 4.999
1.813 0.908 1.272
0.000 -0.260 4.900
0.000 4.371 1.371
1.813 3.157 0.057
1.813 -1.101 3.079
0.000 2.056 3.136
0.000 0.000 0.000
```



No. 5
A plane-wave DFT calculation with PBE was carried out for Cd2HgPd9 after structural relaxation.

Summary:
Space group: P4/mmm, No. 123
ΔE_f in eV per atom: -0.18
N(E_F) in states/eV per atom: 1.691
VASP energy in eV/atom: -4.2570

Cell and atoms, written as POSCAR:
```
Cd2HgPd9
1.0
-1.800 1.120 -3.430
2.047 -2.839 -2.001
-8.951 -7.938 2.106
Pd Cd Hg
9 2 1
Cartesian
-3.452 -5.388 0.052
-2.874 -3.517 -2.010
-5.831 -6.139 -1.315
-6.420 -8.020 0.750
-8.343 -6.040 0.036
0.123 -0.860 -2.716
-2.408 -0.777 -1.360
-0.485 -2.757 -0.646
-5.376 -3.409 -0.662
-5.961 -5.286 1.402
-2.990 -2.651 0.703
0.000 0.000 0.000
```



No. 6
A plane-wave DFT calculation with PBE was carried out for EuPuGeAu after structural relaxation.

Summary:
Space group: F-43m, No. 216
ΔE_f in eV per atom: -0.52
N(E_F) in states/eV per atom: 3.499
VASP energy in eV/atom: -8.6428

Cell and atoms, written as POSCAR:
```
EuPuGeAu
1.0
-1.940 -2.025 -4.383
-1.617 -4.945 -0.089
-5.081 -1.070 -0.346
Pu Eu Ge Au
1 1 1 1
Cartesian
0.000 0.000 0.000
-4.319 -4.020 -2.409
-2.159 -2.010 -1.205
-6.478 -6.030 -3.614
```



No. 7
A plane-wave DFT calculation with PBE was carried out for Cu2MoW after structural relaxation.

Summary:
Space group: R-3m, No. 166
ΔE_f in eV per atom: 0.38
E above lowest polymorph in eV/atom: 0.196
N(E_F) in states/eV per atom: 0.585
VASP energy in eV/atom: -7.6121

Cell and atoms, written as POSCAR:
```
Cu2MoW
1.0
-2.624 -6.655 -5.857
-0.051 -6.439 -6.634
-0.701 -8.019 -4.548
W Mo Cu
1 1 2
Cartesian
-0.844 -5.278 -4.260
-2.532 -15.835 -12.779
0.000 -0.001 -0.001
-1.688 -10.556 -8.519
```



No. 8
A plane-wave DFT calculation with PBE was carried out for La2PrNd4 after structural relaxation.

Summary:
Space group: P2_1/m, No. 11
ΔE_f in eV per atom: 0.10
E above lowest polymorph in eV/atom: 0.000
N(E_F) in states/eV per atom: 1.599
VASP energy in eV/atom: -4.7172

Cell and atoms, written as POSCAR:
```
La2PrNd4
1.0
6.296 0.000 -0.362
0.000 6.795 0.000
-2.465 0.000 11.817
La Nd Pr
4 8 2
Cartesian
2.517 1.699 -0.144
1.314 5.096 11.599
3.041 5.096 6.338
0.789 1.699 5.117
0.482 0.003 8.320
-2.084 5.096 9.989
-0.198 5.096 5.146
5.914 1.699 1.466
3.349 3.400 3.136
4.028 1.699 6.310
3.349 6.792 3.136
0.482 3.395 8.320
0.576 5.096 1.729
3.254 1.699 9.726
```



No. 9
A plane-wave DFT calculation with PBE was carried out for PrPu2Cd6 after structural relaxation.

Summary:
Space group: R-3m, No. 166
ΔE_f in eV per atom: -0.18
N(E_F) in states/eV per atom: 2.321
VASP energy in eV/atom: -4.5013

Cell and atoms, written as POSCAR:
```
PrPu2Cd6
1.0
6.068 0.065 -0.483
-0.557 6.030 -0.625
0.040 0.189 6.085
Pu Cd Pr
2 6 1
Cartesian
1.892 2.140 1.694
3.659 4.144 3.282
4.787 3.102 0.299
0.565 5.130 2.440
4.986 1.155 2.536
2.975 1.195 4.725
2.576 5.090 0.251
0.764 3.182 4.677
0.000 0.000 0.000
```



No. 10
A plane-wave DFT calculation with PBE was carried out for HfTiNiRh after structural relaxation.

Summary:
Space group: F-43m, No. 216
ΔE_f in eV per atom: -0.58
N(E_F) in states/eV per atom: 0.808
VASP energy in eV/atom: -8.3235

Cell and atoms, written as POSCAR:
```
HfTiNiRh
1.0
4.462 0.000 0.000
2.231 3.864 0.000
2.231 1.288 3.643
Ni Ti Rh Hf
1 1 1 1
Cartesian
4.462 2.576 1.822
2.231 1.288 0.911
0.000 0.000 0.000
6.693 3.864 2.733
```



No. 11
A plane-wave DFT calculation with PBE was carried out for ErTmZn2 after structural relaxation.

Summary:
Space group: P4/mmm, No. 123
ΔE_f in eV per atom: -0.35
E above lowest polymorph in eV/atom: 0.004
N(E_F) in states/eV per atom: 0.954
VASP energy in eV/atom: -3.2470

Cell and atoms, written as POSCAR:
```
ErTmZn2
1.0
-2.481 1.177 2.245
-0.887 -4.674 1.470
3.447 0.467 3.563
Er Zn Tm
1 2 1
Cartesian
0.039 -1.515 3.639
-0.444 -2.337 0.735
1.723 0.233 1.781
-1.240 0.589 1.123
```



No. 12
A plane-wave DFT calculation with PBE was carried out for InMoOs2 after structural relaxation.

Summary:
Space group: C2/m, No. 12
ΔE_f in eV per atom: 0.59
N(E_F) in states/eV per atom: 0.874
VASP energy in eV/atom: -8.4205

Cell and atoms, written as POSCAR:
```
InMoOs2
1.0
-2.919 -0.215 4.467
-0.773 -3.943 -3.518
1.007 -2.260 1.326
Os Mo In
2 1 1
Cartesian
0.000 0.000 0.000
-1.846 -2.079 0.475
0.117 -3.102 -1.096
-0.956 -1.238 2.896
```